No. 1
Density functional theory data (PBE-GGA) for crystalline RbTmTiO4 at its relaxed geometry.

Geometry as POSCAR:
```
RbTmTiO4
1.0
-1.282 -4.202 3.889
4.499 1.853 3.485
-3.967 6.503 1.664
Rb Tm Ti O
2 2 2 8
direct
0.686 0.750 0.937
0.314 0.250 0.063
0.815 0.750 0.461
0.185 0.250 0.539
0.269 0.750 0.348
0.731 0.250 0.652
0.954 0.477 0.662
0.046 0.977 0.338
0.046 0.523 0.338
0.954 0.023 0.662
0.469 0.750 0.212
0.531 0.250 0.788
0.499 0.750 0.568
0.501 0.250 0.432
```

Computed properties:
**Space group**: P2_1/m
**Fermi-level density of states**: 0.0 states/eV/f.u.
**Calculated total energy**: -7.68 eV/atom

No. 2
Density functional theory data (PBE-GGA) for crystalline RbTmTi2O6 at its relaxed geometry.

Geometry as POSCAR:
```
RbTmTi2O6
1.0
6.602 -0.135 -0.140
1.936 7.393 -1.145
1.936 -1.418 7.346
Rb Tm Ti O
2 2 4 12
direct
0.250 0.893 0.107
0.750 0.107 0.893
0.250 0.208 0.792
0.750 0.792 0.208
0.338 0.711 0.568
0.162 0.432 0.289
0.662 0.289 0.432
0.838 0.568 0.711
0.220 0.937 0.756
0.280 0.244 0.063
0.780 0.063 0.244
0.720 0.756 0.937
0.451 0.788 0.377
0.049 0.623 0.212
0.549 0.212 0.623
0.951 0.377 0.788
0.064 0.645 0.586
0.436 0.414 0.355
0.936 0.355 0.414
0.564 0.586 0.645
```

Computed properties:
**Space group**: C2/c
**Fermi-level density of states**: 0.0 states/eV/f.u.
**Calculated total energy**: -8.04 eV/atom

No. 3
Density functional theory data (PBE-GGA) for crystalline Rb2TmTiO4 at its relaxed geometry.

Geometry as POSCAR:
```
Rb2TmTiO4
1.0
5.866 0.000 0.000
2.933 6.632 0.000
2.933 0.000 11.491
Rb Tm Ti O
4 2 2 8
direct
0.181 0.000 0.637
0.819 0.000 0.363
0.569 0.500 0.863
0.931 0.500 0.137
0.750 0.500 0.500
0.000 0.000 0.000
0.250 0.500 0.500
0.500 0.000 0.000
0.325 0.843 0.076
0.244 0.157 0.924
0.832 0.843 0.924
0.599 0.157 0.076
0.425 0.657 0.424
0.506 0.343 0.576
0.918 0.657 0.576
0.151 0.343 0.424
```

Computed properties:
**Space group**: Fddd
**Fermi-level density of states**: 2.3 states/eV/f.u.
**Calculated total energy**: -6.54 eV/atom

No. 4
Density functional theory data (PBE-GGA) for crystalline RbU2TiO8 at its relaxed geometry.

Geometry as POSCAR:
```
RbU2TiO8
1.0
-3.469 1.753 3.216
2.076 -2.208 4.025
3.939 5.813 1.508
Rb U Ti O
1 2 1 8
direct
0.000 0.000 0.500
0.484 0.485 0.760
0.516 0.515 0.240
0.000 0.000 0.000
0.197 0.789 0.190
0.699 0.701 0.012
0.792 0.199 0.189
0.803 0.211 0.810
0.301 0.299 0.988
0.208 0.801 0.811
0.654 0.659 0.539
0.346 0.341 0.461
```

Computed properties:
**Space group**: P-1
**Fermi-level density of states**: 6.3 states/eV/f.u.
**Calculated total energy**: -8.71 eV/atom

No. 5
Density functional theory data (PBE-GGA) for crystalline Rb2UTi3O12 at its relaxed geometry.

Geometry as POSCAR:
```
Rb2UTi3O12
1.0
-1.486 5.703 4.738
-4.824 -0.732 5.777
2.328 -0.045 7.195
Rb U Ti O
2 1 3 12
direct
0.619 0.619 0.619
0.381 0.381 0.381
0.000 0.000 0.000
0.500 0.000 0.000
0.000 0.500 0.000
0.000 0.000 0.500
0.309 0.309 0.937
0.933 0.933 0.325
0.325 0.933 0.933
0.937 0.309 0.309
0.933 0.325 0.933
0.309 0.937 0.309
0.691 0.691 0.063
0.067 0.067 0.675
0.675 0.067 0.067
0.063 0.691 0.691
0.067 0.675 0.067
0.691 0.063 0.691
```

Computed properties:
**Space group**: R-3m
**Fermi-level density of states**: 11.8 states/eV/f.u.
**Calculated total energy**: -7.68 eV/atom

No. 6
Density functional theory data (PBE-GGA) for crystalline RbUTiO5 at its relaxed geometry.

Geometry as POSCAR:
```
RbUTiO5
1.0
6.295 0.081 -0.085
-1.760 6.044 -0.085
-1.987 -2.684 7.385
Rb U Ti O
2 2 2 10
direct
0.332 0.668 0.250
0.668 0.332 0.750
0.000 0.000 0.500
0.000 0.000 0.000
0.690 0.310 0.250
0.310 0.690 0.750
0.058 0.942 0.250
0.942 0.058 0.750
0.879 0.282 0.109
0.121 0.718 0.891
0.718 0.121 0.391
0.282 0.879 0.609
0.777 0.621 0.391
0.223 0.379 0.609
0.379 0.223 0.109
0.621 0.777 0.891
```

Computed properties:
**Space group**: C2/c
**Fermi-level density of states**: 0.4 states/eV/f.u.
**Calculated total energy**: -8.56 eV/atom

Question: Look up the Fermi-level density of states of the sixth one.
Answer: 0.4 states/eV/f.u.

Please write out number 3 again, unchanged.
Density functional theory data (PBE-GGA) for crystalline Rb2TmTiO4 at its relaxed geometry.

Geometry as POSCAR:
```
Rb2TmTiO4
1.0
5.866 0.000 0.000
2.933 6.632 0.000
2.933 0.000 11.491
Rb Tm Ti O
4 2 2 8
direct
0.181 0.000 0.637
0.819 0.000 0.363
0.569 0.500 0.863
0.931 0.500 0.137
0.750 0.500 0.500
0.000 0.000 0.000
0.250 0.500 0.500
0.500 0.000 0.000
0.325 0.843 0.076
0.244 0.157 0.924
0.832 0.843 0.924
0.599 0.157 0.076
0.425 0.657 0.424
0.506 0.343 0.576
0.918 0.657 0.576
0.151 0.343 0.424
```

Computed properties:
**Space group**: Fddd
**Fermi-level density of states**: 2.3 states/eV/f.u.
**Calculated total energy**: -6.54 eV/atom